Computed, not measured: Na3VMo3O8 after structural relaxation at the GGA+U level of DFT.

Unit cell a=6.221 b=6.432 c=6.697 alpha=119.78 beta=90.00 gamma=118.92
Site moments in Bohr magnetons follow the coordinates.
Fractional positions:
O (0.218, 0.966, 0.692)  0.03
O (0.782, 0.034, 0.308)  0.03
O (0.264, 0.528, 0.292)  0.03
O (0.228, 0.455, 0.697)  0.01
O (0.736, 0.472, 0.708)  0.03
O (0.772, 0.545, 0.303)  0.01
O (0.748, 0.966, 0.692)  0.03
O (0.252, 0.034, 0.308)  0.03
Mo (0.500, 0.500, 0.500)  2.40
Mo (0.500, 0.000, 0.500)  2.70
Mo (0.000, 0.500, 0.500)  2.40
V (0.000, 0.000, 0.500)  1.85
Na (0.500, 0.500, 0.000)  0.00
Na (0.000, 0.000, 0.000)  0.00
Na (0.000, 0.500, 0.000)  0.00

Results
Crystal system: monoclinic
Density of states at the Fermi level: 3.75 states/eV per cell
E_tot: -6.552 eV per atom
SG: C2/m (12)